1.
{"formula": "ScMoOs2", "functional": "PBE-GGA", "state": "relaxed", "volume_a3_per_cell": 62.98, "dft_energy_ev_per_atom": -10.0413, "ef_ev_per_atom": -0.1358, "lattice_angstrom": [[4.5011, 0.0110, 0.0000], [-0.0109, 4.5011, 0.0000], [0.0000, 0.0000, 3.1085]], "species": ["Mo", "Os", "Os", "Sc"], "frac_coords": [[0.0000, 0.5000, 0.5000], [0.0000, 0.0000, 0.0000], [0.5000, 0.5000, 0.0000], [0.5000, 0.0000, 0.5000]]}



2.
{"formula": "HoAgTe3", "functional": "PBE-GGA", "state": "relaxed", "volume_a3_per_cell": 291.70, "dft_energy_ev_per_atom": -3.9939, "formation_energy_uncorrected_ev_per_atom": -0.623, "lattice_angstrom": [[-2.3670, -0.2136, -3.5572], [3.6697, -4.5686, -2.1679], [-6.4459, -7.4244, 4.7349]], "species": ["Ho", "Ho", "Ag", "Ag", "Te", "Te", "Te", "Te", "Te", "Te"], "frac_coords": [[0.7500, 0.2500, 0.1456], [0.2500, 0.7500, 0.8544], [0.7500, 0.7500, 0.4577], [0.2500, 0.2500, 0.5423], [0.7500, 0.7500, 0.0559], [0.2500, 0.2500, 0.9441], [0.7500, 0.9938, 0.6852], [0.7500, 0.5062, 0.6852], [0.2500, 0.0062, 0.3148], [0.2500, 0.4938, 0.3148]]}



3.
{"formula": "Mg2Pd8Pb", "functional": "PBE-GGA", "state": "relaxed", "volume_a3_per_cell": 179.56, "dft_energy_ev_per_atom": -4.8166, "ef_ev_per_atom": -0.4130, "polymorph_energy_mev_per_atom": 0.0, "lattice_angstrom": [[-2.5723, -1.3858, -2.9028], [4.8064, -0.4416, -4.0482], [1.0056, -5.6744, 4.7398]], "species": ["Mg", "Mg", "Pd", "Pd", "Pd", "Pd", "Pd", "Pd", "Pd", "Pd", "Pb"], "frac_coords": [[0.7782, 0.3469, 0.5563], [0.2218, 0.6531, 0.4437], [0.4038, 0.5359, 0.8076], [0.6810, 0.9150, 0.3620], [0.8533, 0.7988, 0.7067], [0.9575, 0.2770, 0.9150], [0.1467, 0.2012, 0.2933], [0.3190, 0.0850, 0.6380], [0.5962, 0.4641, 0.1924], [0.0425, 0.7230, 0.0850], [0.5000, 0.0000, 0.0000]]}



4.
{"formula": "NpPaPd", "functional": "PBE-GGA", "state": "relaxed", "volume_a3_per_cell": 64.05, "dft_energy_ev_per_atom": -9.2675, "ef_ev_per_atom": -0.0577, "polymorph_energy_mev_per_atom": 0.0, "lattice_angstrom": [[-2.4512, 2.6326, -0.0084], [-2.6303, -2.4486, 0.1586], [2.6926, 0.0651, 4.8702]], "species": ["Np", "Pa", "Pd"], "frac_coords": [[0.3291, 0.3291, 0.6582], [0.6678, 0.6678, 0.3356], [0.0031, 0.0031, 0.0062]]}